# KAgRh, optimized geometry, DFT PBE
data_KAgRh
_chemical_formula_sum 'K4 Ag4 Rh4'
_symmetry_space_group_name_H-M 'F -4 3 m'
_symmetry_Int_Tables_number 216
_symmetry_space_group_name_Hall 'F -4 2 3'
_cell_length_a 6.7159
_cell_length_b 6.7159
_cell_length_c 6.7159
_cell_angle_alpha 90.00
_cell_angle_beta 90.00
_cell_angle_gamma 90.00
loop_
_atom_site_label
_atom_site_type_symbol
_atom_site_fract_x
_atom_site_fract_y
_atom_site_fract_z
_atom_site_occupancy
K1 K 0.0000 0.0000 0.0000 1
Ag1 Ag 0.0000 0.0000 0.5000 1
Rh1 Rh 0.2500 0.2500 0.2500 1
# - E: -0.21286 Ry/atom
# - Size of the total moment: 0.123 μB/atom
# - Excess energy over the best structure of this formula in the dataset: 466.6 meV/atom
# - Crystal system: cubic